Entry 1:
The following is a DFT calculation (GGA-PBEsol) of a relaxed TlAg4Sb crystal.

Lattice parameters (Å, degrees): 5.533 5.533 5.533 60.00 60.00 60.00
Element x y z (fractional)
Sb  0.750  0.750  0.750
Tl  0.000  0.000  0.000
Ag  0.875  0.375  0.375
Ag  0.375  0.375  0.375
Ag  0.375  0.375  0.875
Ag  0.375  0.875  0.375

Raw total energy = -3.33 eV/atom

Entry 2:
The following is a DFT calculation (GGA-PBEsol) of a relaxed Ag2SbW crystal.

Lattice parameters (Å, degrees): 2.887 4.423 5.628 90.00 90.00 90.00
Element x y z (fractional)
Sb  0.500  0.500  0.000
Ag  0.000  0.000  0.734
Ag  0.000  0.000  0.266
W  0.500  0.500  0.500

Raw total energy = -5.59 eV/atom

Entry 3:
The following is a DFT calculation (GGA-PBEsol) of a relaxed Ag2SbW crystal.

Lattice parameters (Å, degrees): 3.976 3.976 4.437 90.00 90.00 90.00
Each line ends with the local moment (μB).
Element x y z (fractional)
Sb  0.500  0.500  0.500  0.00
Ag  0.000  0.500  0.000  0.00
Ag  0.500  0.000  0.000  0.00
W  0.000  0.000  0.500  0.50

Raw total energy = -5.63 eV/atom

Entry 4:
The following is a DFT calculation (GGA-PBEsol) of a relaxed AgSb2W crystal.

Lattice parameters (Å, degrees): 4.062 4.062 5.584 111.33 111.33 90.00
Each line ends with the local moment (μB).
Element x y z (fractional)
Sb  0.000  0.000  0.000  0.00
Sb  0.750  0.250  0.500  -0.01
Ag  0.250  0.750  0.500  0.00
W  0.500  0.500  0.000  0.71

Distance to the lowest polymorph of the same formula = 1.20 eV per formula unit

Entry 5:
The following is a DFT calculation (GGA-PBEsol) of a relaxed Ag4SbW crystal.

Lattice parameters (Å, degrees): 5.372 5.372 5.372 60.00 60.00 60.00
Each line ends with the local moment (μB).
Element x y z (fractional)
Ag  0.375  0.375  0.375  0.06
Ag  0.375  0.375  0.876  0.06
Ag  0.876  0.375  0.375  0.06
Ag  0.375  0.876  0.375  0.06
Sb  0.750  0.750  0.750  -0.04
W  0.000  0.000  0.000  2.15

Raw total energy = -4.52 eV/atom

Entry 6:
The following is a DFT calculation (GGA-PBEsol) of a relaxed AgSb2W crystal.

Lattice parameters (Å, degrees): 3.262 4.560 5.389 90.00 90.00 90.00
Element x y z (fractional)
Sb  0.000  0.000  0.000
Sb  0.500  0.000  0.500
Ag  0.000  0.500  0.500
W  0.500  0.500  0.000

Distance to the lowest polymorph of the same formula = 1.45 eV per formula unit

Entry 7:
The following is a DFT calculation (GGA-PBEsol) of a relaxed Ag2SbW crystal.

Lattice parameters (Å, degrees): 4.147 4.147 5.025 114.37 114.37 90.00
Element x y z (fractional)
Sb  0.000  0.000  0.000
Ag  0.500  0.500  0.000
Ag  0.250  0.750  0.500
W  0.750  0.250  0.500

Raw total energy = -5.61 eV/atom

Entry 8:
The following is a DFT calculation (GGA-PBEsol) of a relaxed Ag2SbW crystal.

Lattice parameters (Å, degrees): 2.866 4.989 5.718 113.89 101.32 97.15
Element x y z (fractional)
Sb  0.500  0.000  0.000
Ag  0.000  0.000  0.500
Ag  0.500  0.500  0.500
W  0.000  0.500  0.000

Raw total energy = -5.69 eV/atom

| no. | volume (Å³/cell) |
| --- | --- |
| 1 | 119.7 |
| 2 | 71.9 |
| 3 | 70.1 |
| 4 | 79.0 |
| 5 | 109.6 |
| 6 | 80.2 |
| 7 | 70.2 |
| 8 | 71.4 |